Tm3Sb2 | GGA-PBE | relaxed

Geometry as POSCAR:
```
Tm3Sb2
1.0
-1.9310 1.9252 -4.3870
-3.1435 -2.1955 3.4611
-0.8112 5.5948 2.8123
Tm Sb
3 2
Direct
0.0000 0.0000 0.0000 Tm
0.3333 0.6667 0.3001 Tm
0.6667 0.3333 0.6999 Tm
0.3333 0.6667 0.7849 Sb
0.6667 0.3333 0.2151 Sb
```

Summary:
energy above the most stable polymorph in this dataset	184	meV/atom
DOS at the Fermi energy	5.64	states/eV/cell
electronic total energy	-4.984	eV/atom
space group	No. 164


TmSb5 | GGA-PBE | relaxed

Geometry as POSCAR:
```
TmSb5
1.0
4.5555 0.0000 0.0000
0.0000 4.4066 0.0000
0.0000 -2.2033 8.3149
Sb Tm
5 1
Direct
0.5000 0.8478 0.6956 Sb
0.0000 0.6528 0.3057 Sb
0.5000 0.5000 0.0000 Sb
0.0000 0.3472 0.6943 Sb
0.5000 0.1522 0.3044 Sb
0.0000 0.0000 0.0000 Tm
```

Summary:
DOS at the Fermi energy	3.51	states/eV/cell
electronic total energy	-4.355	eV/atom
space group	No. 65


Tm5Sb4 | GGA-PBE | relaxed

Geometry as POSCAR:
```
Tm5Sb4
1.0
4.2804 0.0000 0.0000
2.1402 8.3927 0.0000
2.1402 0.0000 8.3927
Tm Sb
5 4
Direct
0.6029 0.6836 0.1106 Tm
0.7135 0.8894 0.6836 Tm
0.2865 0.1106 0.3164 Tm
0.3971 0.3164 0.8894 Tm
0.0000 0.0000 0.0000 Tm
0.7556 0.3281 0.1608 Sb
0.9163 0.8392 0.3281 Sb
0.0837 0.1608 0.6719 Sb
0.2444 0.6719 0.8392 Sb
```

Summary:
DOS at the Fermi energy	3.93	states/eV/cell
electronic total energy	-5.144	eV/atom
space group	No. 87


Tm5Sb3 | GGA-PBE | relaxed

Geometry as POSCAR:
```
Tm5Sb3
1.0
-4.5337 3.0401 -5.9143
0.3193 -8.0717 -4.3939
-9.6373 -3.4401 5.6193
Tm Sb
20 12
Direct
0.8095 0.9400 0.0654 Tm
0.3095 0.0600 0.4346 Tm
0.1905 0.4400 0.9346 Tm
0.6905 0.5600 0.5654 Tm
0.1905 0.0600 0.9346 Tm
0.6905 0.9400 0.5654 Tm
0.8095 0.5600 0.0654 Tm
0.3095 0.4400 0.4346 Tm
0.5241 0.2500 0.9949 Tm
0.0241 0.7500 0.5051 Tm
0.4759 0.7500 0.0051 Tm
0.9759 0.2500 0.4949 Tm
0.1747 0.7500 0.2283 Tm
0.6747 0.2500 0.2717 Tm
0.8253 0.2500 0.7717 Tm
0.3253 0.7500 0.7283 Tm
0.6576 0.7500 0.2904 Tm
0.1576 0.2500 0.2096 Tm
0.3424 0.2500 0.7096 Tm
0.8424 0.7500 0.7904 Tm
0.9372 0.9908 0.3253 Sb
0.4372 0.0092 0.1747 Sb
0.0628 0.4908 0.6747 Sb
0.5628 0.5092 0.8253 Sb
0.0628 0.0092 0.6747 Sb
0.5628 0.9908 0.8253 Sb
0.9372 0.5092 0.3253 Sb
0.4372 0.4908 0.1747 Sb
0.9022 0.2500 0.0254 Sb
0.4022 0.7500 0.4746 Sb
0.0978 0.7500 0.9746 Sb
0.5978 0.2500 0.5254 Sb
```

Summary:
DOS at the Fermi energy	26.03	states/eV/cell
electronic total energy	-5.200	eV/atom
space group	No. 62


Tm3Sb | GGA-PBE | relaxed

Geometry as POSCAR:
```
Tm3Sb
1.0
4.7223 0.0000 0.0000
0.0000 4.7238 0.0000
0.0000 0.0000 4.7247
Sb Tm
1 3
Direct
0.0000 0.5000 0.4167 Sb
0.0000 0.0000 0.9166 Tm
0.5000 0.0000 0.4167 Tm
0.5000 0.5000 0.9166 Tm
```

Summary:
energy above the most stable polymorph in this dataset	123	meV/atom
DOS at the Fermi energy	5.38	states/eV/cell
electronic total energy	-4.816	eV/atom
space group	No. 221


Tm3Sb | GGA-PBE | relaxed

Geometry as POSCAR:
```
Tm3Sb
1.0
-4.5006 9.5643 -6.1047
-10.3212 -0.7227 6.4768
2.3593 3.7792 4.1814
Tm Sb
24 8
Direct
0.2860 0.1738 0.0167 Tm
0.6738 0.2140 0.5167 Tm
0.3262 0.7860 0.5167 Tm
0.7140 0.8262 0.0167 Tm
0.2140 0.3262 0.4833 Tm
0.8262 0.2860 0.9833 Tm
0.1738 0.7140 0.9833 Tm
0.7860 0.6738 0.4833 Tm
0.0312 0.1455 0.7135 Tm
0.6455 0.4688 0.2135 Tm
0.3545 0.5312 0.2135 Tm
0.9688 0.8545 0.7135 Tm
0.4688 0.3545 0.7865 Tm
0.8545 0.0312 0.2865 Tm
0.1455 0.9688 0.2865 Tm
0.5312 0.6455 0.7865 Tm
0.6083 0.9166 0.5364 Tm
0.4166 0.8917 0.0364 Tm
0.5834 0.1083 0.0364 Tm
0.3917 0.0834 0.5364 Tm
0.8917 0.5834 0.9636 Tm
0.0834 0.6083 0.4636 Tm
0.9166 0.3917 0.4636 Tm
0.1083 0.4166 0.9636 Tm
0.8007 0.0428 0.7907 Sb
0.5428 0.6993 0.2907 Sb
0.4572 0.3007 0.2907 Sb
0.1993 0.9572 0.7907 Sb
0.6993 0.4572 0.7093 Sb
0.9572 0.8007 0.2093 Sb
0.0428 0.1993 0.2093 Sb
0.3007 0.5428 0.7093 Sb
```

Summary:
energy above the most stable polymorph in this dataset	0	meV/atom
DOS at the Fermi energy	38.44	states/eV/cell
electronic total energy	-4.939	eV/atom
space group	No. 86